No. 1
# AlCoBr2

Crystalline AlCoBr2 at its relaxed geometry (GGA-PBE, Alexandria via LeMat-Bulk).

Output
The total energy is -3.47 eV/atom. The distance to the lowest polymorph of the same formula comes out at 338 meV/atom. The symmetry is R-3m, No. 166.

Cell lengths 9.1350, 9.1350, 9.1350 Å; angles 22.53, 22.53, 22.53 degrees
Fractional positions:
Al 0.0000 0.0000 0.0000
Co 0.5000 0.5000 0.5000
Br 0.1101 0.1101 0.1101
Br 0.8899 0.8899 0.8899

No. 2
# AlCo2Br8

Crystalline AlCo2Br8 at its relaxed geometry (GGA-PBE, Alexandria via LeMat-Bulk).

Output
The total energy is -3.38 eV/atom. The symmetry is C2/m, No. 12.

Cell lengths 9.2323, 8.2483, 6.3388 Å; angles 89.57, 90.00, 124.03 degrees
Fractional positions:
Co 0.1702 0.3403 0.3990
Co 0.8298 0.6597 0.6010
Br 0.1600 0.3201 0.7713
Br 0.8893 0.1559 0.2272
Br 0.8400 0.6799 0.2287
Br 0.7334 0.8441 0.7728
Br 0.1107 0.8441 0.7728
Br 0.3305 0.6610 0.3047
Br 0.2666 0.1559 0.2272
Br 0.6695 0.3390 0.6953
Al 0.0000 0.0000 0.0000

No. 3
# AlCo2Br

Crystalline AlCo2Br at its relaxed geometry (GGA-PBE, Alexandria via LeMat-Bulk).

Output
The total energy is -4.39 eV/atom. The distance to the lowest polymorph of the same formula comes out at 391 meV/atom. The symmetry is Immm, No. 71.

Cell lengths 5.0216, 5.0216, 5.0216 Å; angles 146.36, 119.95, 70.62 degrees
Fractional positions:
Co 0.9975 0.9975 0.0000
Co 0.5025 0.5025 0.0000
Al 0.7500 0.2500 0.5000
Br 0.2500 0.7500 0.5000

No. 4
# AlCoBr2

Crystalline AlCoBr2 at its relaxed geometry (GGA-PBE, Alexandria via LeMat-Bulk).

Output
The total energy is -3.72 eV/atom. The distance to the lowest polymorph of the same formula comes out at 92 meV/atom. The symmetry is Immm, No. 71.

Cell lengths 7.8689, 7.8689, 7.8689 Å; angles 154.93, 152.52, 37.54 degrees
Fractional positions:
Al 0.2500 0.7500 0.5000
Br 0.6184 0.6184 0.0000
Br 0.8816 0.8816 0.0000
Co 0.7500 0.2500 0.5000

No. 5
# AlCo2Br2

Crystalline AlCo2Br2 at its relaxed geometry (GGA-PBE, Alexandria via LeMat-Bulk).

Output
The total energy is -3.74 eV/atom. The distance to the lowest polymorph of the same formula comes out at 195 meV/atom. The symmetry is I4/mmm, No. 139.

Cell lengths 5.1079, 5.1079, 5.1482 Å; angles 60.26, 60.26, 90.00 degrees
Fractional positions:
Al 0.0000 0.0000 0.0000
Co 0.6692 0.6692 0.6616
Co 0.3308 0.3308 0.3384
Br 0.2500 0.7500 0.5000
Br 0.7500 0.2500 0.5000

No. 6
# AlCo2Br2

Crystalline AlCo2Br2 at its relaxed geometry (GGA-PBE, Alexandria via LeMat-Bulk).

Output
The total energy is -3.83 eV/atom. The distance to the lowest polymorph of the same formula comes out at 107 meV/atom. The symmetry is I4/mmm, No. 139.

Cell lengths 3.4418, 3.4418, 9.0424 Å; angles 79.03, 79.03, 90.00 degrees
Fractional positions:
Co 0.7500 0.2500 0.5000
Co 0.2500 0.7500 0.5000
Al 0.0000 0.0000 0.0000
Br 0.3616 0.3616 0.2768
Br 0.6384 0.6384 0.7232

No. 7
# AlCo2Br

Crystalline AlCo2Br at its relaxed geometry (GGA-PBE, Alexandria via LeMat-Bulk).

Output
The total energy is -4.45 eV/atom. The distance to the lowest polymorph of the same formula comes out at 333 meV/atom. The symmetry is Cmmm, No. 65.

Cell lengths 2.9280, 2.9280, 7.9489 Å; angles 90.00, 90.00, 117.87 degrees
Fractional positions:
Al 0.5000 0.5000 0.2500
Br 0.5000 0.5000 0.7500
Co 0.0000 0.0000 0.4860
Co 0.0000 0.0000 0.0140

No. 8
# AlCoBr

Crystalline AlCoBr at its relaxed geometry (GGA-PBE, Alexandria via LeMat-Bulk).

Output
The total energy is -3.38 eV/atom. The distance to the lowest polymorph of the same formula comes out at 668 meV/atom. The symmetry is F-43m, No. 216.

Cell lengths 4.3838, 4.3838, 4.3838 Å; angles 60.00, 60.00, 60.00 degrees
Fractional positions:
Co 0.5000 0.5000 0.5000
Al 0.2500 0.2500 0.2500
Br 0.0000 0.0000 0.0000

No. 9
# AlCo2Br

Crystalline AlCo2Br at its relaxed geometry (GGA-PBE, Alexandria via LeMat-Bulk).

Output
The total energy is -4.40 eV/atom. The distance to the lowest polymorph of the same formula comes out at 384 meV/atom. The symmetry is Pmmm, No. 47.

Cell lengths 2.9661, 5.0307, 4.0018 Å; angles 90.00, 90.00, 90.00 degrees
Fractional positions:
Co 0.5000 0.5000 0.0000
Co 0.0000 0.0000 0.0000
Al 0.5000 0.0000 0.5000
Br 0.0000 0.5000 0.5000

No. 10
# AlCoBr

Crystalline AlCoBr at its relaxed geometry (GGA-PBE, Alexandria via LeMat-Bulk).

Output
The total energy is -3.82 eV/atom. The distance to the lowest polymorph of the same formula comes out at 228 meV/atom. The symmetry is F-43m, No. 216.

Cell lengths 4.1865, 4.1865, 4.1865 Å; angles 60.00, 60.00, 60.00 degrees
Fractional positions:
Al 0.0000 0.0000 0.0000
Br 0.5000 0.5000 0.5000
Co 0.2500 0.2500 0.2500

No. 11
# AlCoBr

Crystalline AlCoBr at its relaxed geometry (GGA-PBE, Alexandria via LeMat-Bulk).

Output
The total energy is -3.94 eV/atom. The distance to the lowest polymorph of the same formula comes out at 110 meV/atom. The symmetry is I4mm, No. 107.

Cell lengths 6.1377, 6.1377, 3.1257 Å; angles 75.25, 75.25, 29.50 degrees
Fractional positions:
Al 0.0542 0.0542 0.9458
Co 0.6471 0.6471 0.3529
Br 0.2986 0.2986 0.7014

No. 12
# AlCo2Br2

Crystalline AlCo2Br2 at its relaxed geometry (GGA-PBE, Alexandria via LeMat-Bulk).

Output
The total energy is -3.52 eV/atom. The distance to the lowest polymorph of the same formula comes out at 416 meV/atom. The symmetry is P4/mbm, No. 127.

Cell lengths 7.6879, 7.6879, 3.0843 Å; angles 90.00, 90.00, 90.00 degrees
Fractional positions:
Br 0.6441 0.1441 0.0000
Br 0.3559 0.8559 0.0000
Br 0.1441 0.3559 0.0000
Br 0.8559 0.6441 0.0000
Co 0.6813 0.8187 0.5000
Co 0.3187 0.1813 0.5000
Co 0.8187 0.3187 0.5000
Co 0.1813 0.6813 0.5000
Al 0.5000 0.5000 0.0000
Al 0.0000 0.0000 0.0000

ΔE_f (raw) / eV/atom: 0.076 -0.530 0.515 -0.170 0.521 0.433 0.457 0.790 0.508 0.350 0.233 0.742